No. 1
Density functional theory data (PBE) for an optimized crystal structure of Ce3NdTm2Te6.

The calculation puts the total energy at -5.52 eV per atom. As for the volume: 30.7 A^3/atom. As for the uncorrected formation energy: -15.9 eV per formula unit.

The space group is C2/m (No. 12) and the conventional cell measures 7.619, 13.203 and 7.758 Å, with angles of 90.00, 109.10 and 90.00 degrees. The inequivalent atoms are Ce at (0.000, 0.000, 0.000), Ce at (0.000, 0.341, 0.000), Nd at (0.000, 0.500, 0.500), Tm at (0.000, 0.168, 0.500), Te at (0.233, 0.000, 0.734) and Te at (0.247, 0.172, 0.258).



No. 2
Density functional theory data (PBE) for an optimized crystal structure of TiSi2AgBi.

The calculation puts the total energy at -3.50 eV per atom. As for the volume: 29.0 A^3/atom. As for the uncorrected formation energy: 8.0 eV per formula unit.

The space group is P4/mmm (No. 123) and the conventional cell measures 5.295, 5.295 and 5.179 Å, with angles of 90.00, 90.00 and 90.00 degrees. The inequivalent atoms are Ti at (0.000, 0.000, 0.000), Si at (0.000, 0.500, 0.500), Ag at (0.500, 0.500, 0.000) and Bi at (0.500, 0.500, 0.500).



No. 3
Density functional theory data (PBE) for an optimized crystal structure of Y3Er7Tm.

For the energy above the most stable polymorph in this dataset, the calculation gives 0 meV/atom. The calculation puts the total energy at -4.91 eV per atom. As for the volume: 31.9 A^3/atom. The calculation puts the formation energy at 0.163 eV per atom.

The space group is P2/m (No. 10) and the conventional cell measures 6.941, 5.473 and 9.813 Å, with angles of 90.00, 109.90 and 90.00 degrees. The inequivalent atoms are Y at (0.000, 0.000, 0.000), Y at (0.278, 0.500, 0.497), Er at (0.000, 0.000, 0.500), Er at (0.149, 0.500, 0.792), Er at (0.321, 0.500, 0.140), Er at (0.422, 0.000, 0.330) and Tm at (0.500, 0.000, 0.000).



No. 4
Density functional theory data (PBE) for an optimized crystal structure of Sr2SbHRh.

The calculation puts the total energy at -4.16 eV per atom. As for the volume: 22.9 A^3/atom.

The space group is P4/mmm (No. 123) and the conventional cell measures 5.460, 5.460 and 3.835 Å, with angles of 90.00, 90.00 and 90.00 degrees. The inequivalent atoms are Sr at (0.000, 0.500, 0.000), Sb at (0.000, 0.000, 0.500), H at (0.500, 0.500, 0.000) and Rh at (0.500, 0.500, 0.500).



Please write out number 2 again, unchanged.
Density functional theory data (PBE) for an optimized crystal structure of TiSi2AgBi.

The calculation puts the total energy at -3.50 eV per atom. As for the volume: 29.0 A^3/atom. As for the uncorrected formation energy: 8.0 eV per formula unit.

The space group is P4/mmm (No. 123) and the conventional cell measures 5.295, 5.295 and 5.179 Å, with angles of 90.00, 90.00 and 90.00 degrees. The inequivalent atoms are Ti at (0.000, 0.000, 0.000), Si at (0.000, 0.500, 0.500), Ag at (0.500, 0.500, 0.000) and Bi at (0.500, 0.500, 0.500).



Please write out number 3 again, unchanged.
Density functional theory data (PBE) for an optimized crystal structure of Y3Er7Tm.

For the energy above the most stable polymorph in this dataset, the calculation gives 0 meV/atom. The calculation puts the total energy at -4.91 eV per atom. As for the volume: 31.9 A^3/atom. The calculation puts the formation energy at 0.163 eV per atom.

The space group is P2/m (No. 10) and the conventional cell measures 6.941, 5.473 and 9.813 Å, with angles of 90.00, 109.90 and 90.00 degrees. The inequivalent atoms are Y at (0.000, 0.000, 0.000), Y at (0.278, 0.500, 0.497), Er at (0.000, 0.000, 0.500), Er at (0.149, 0.500, 0.792), Er at (0.321, 0.500, 0.140), Er at (0.422, 0.000, 0.330) and Tm at (0.500, 0.000, 0.000).



Repeat the fourth record exactly.
Density functional theory data (PBE) for an optimized crystal structure of Sr2SbHRh.

The calculation puts the total energy at -4.16 eV per atom. As for the volume: 22.9 A^3/atom.

The space group is P4/mmm (No. 123) and the conventional cell measures 5.460, 5.460 and 3.835 Å, with angles of 90.00, 90.00 and 90.00 degrees. The inequivalent atoms are Sr at (0.000, 0.500, 0.000), Sb at (0.000, 0.000, 0.500), H at (0.500, 0.500, 0.000) and Rh at (0.500, 0.500, 0.500).